DFT (PBE+U) results for a relaxed SrAcCr2O8 crystal.

Unit cell a=6.357 b=6.357 c=6.357 alpha=106.04 beta=106.04 gamma=116.58
Each line ends with the local moment (μB).
Fractional positions:
Sr1 0.000 0.000 0.000  0.00
Ac1 0.250 0.750 0.500  0.00
Cr1 0.750 0.250 0.500  0.01
Cr2 0.500 0.500 0.000  1.08
O1 0.425 0.097 0.328  0.00
O2 0.342 0.521 0.179  -0.03
O3 0.342 0.162 0.821  -0.03
O4 0.769 0.097 0.672  0.00
O5 0.838 0.658 0.179  -0.03
O6 0.903 0.231 0.328  0.00
O7 0.903 0.575 0.672  0.00
O8 0.479 0.658 0.821  -0.03

E_tot in eV/atom: -7.1973
Symmetry: I-4m2, No. 119